No. 1
BeCdSe3, single point on PBEsol structure, DFT meta-GGA SCAN; magnetization = 0.0 μB per formula unit; SG = Pm-3m; raw total energy = -17.941 eV/atom; uncorrected formation energy = 1.059 eV/atom
1.0
5.0843 0.0000 0.0000
0.0000 5.0843 0.0000
0.0000 0.0000 5.0843
Be Cd Se
1 1 3
direct
0.0000 0.0000 0.0000
0.5000 0.5000 0.5000
0.0000 0.5000 0.5000
0.5000 0.0000 0.5000
0.5000 0.5000 0.0000

No. 2
BeCdSi3, single point on PBEsol structure, DFT meta-GGA SCAN; magnetization = 0.0 μB per formula unit; SG = Pm-3m; raw total energy = -12.144 eV/atom; uncorrected formation energy = 0.819 eV/atom
1.0
4.3582 0.0000 0.0000
0.0000 4.3582 0.0000
0.0000 0.0000 4.3582
Be Cd Si
1 1 3
direct
0.0000 0.0000 0.0000
0.5000 0.5000 0.5000
0.0000 0.0000 0.5000
0.0000 0.5000 0.0000
0.5000 0.0000 0.0000

No. 3
SrBeCd2Tc, single point on PBEsol structure, DFT meta-GGA SCAN; magnetization = 4.0 μB per formula unit; ΔE_f = 2025 meV per atom; SG = P4/mmm; raw total energy = -22.478 eV/atom
1.0
5.6105 0.0000 0.0000
0.0000 5.6105 0.0000
0.0000 0.0000 5.0233
Sr Be Cd Tc
1 1 2 1
direct
0.0000 0.0000 0.0000
0.0000 0.0000 0.5000
0.0000 0.5000 0.0000
0.5000 0.0000 0.0000
0.5000 0.5000 0.5000